The following is a PBE with a Hubbard U calculation of a relaxed VCu2F crystal, from the Alexandria database.

Final energy: -4.037 eV per atom
Magnetic moment: 2.003 μB per formula unit
D(E_F): 0.8 states/eV/cell
Theoretical density: 5.92 g cm⁻³
Relative energy among the computed polymorphs: 1.90 eV/f.u.

Cell lengths 4.275, 4.275, 4.275 Å; angles 60.00, 60.00, 60.00 degrees
Element x y z (fractional)
V 0.000 0.000 0.000
Cu 0.250 0.250 0.250
Cu 0.750 0.750 0.750
F 0.500 0.500 0.500